Record 1
Computed, not measured: RbLa3W after structural relaxation at the PBE level of DFT.

a b c (Å): 5.502 5.502 5.502
angles (deg): 90.00 90.00 90.00
Fractional coordinates of all 5 atoms:
Rb 0.000 0.000 0.000
La 0.000 0.000 0.500
La 0.000 0.500 0.000
La 0.500 0.000 0.000
W 0.500 0.500 0.500

## Properties
The value obtained for the energy above the most stable polymorph in this dataset is 1510 meV per atom. Its formation enthalpy at 0 K is 2.053 eV per atom. As for the space group: Pm-3m (221). The density of states at the Fermi level comes out at 10.8 states/eV/cell. The raw total energy comes out at -3.69 eV/atom.


Record 2
Computed, not measured: Ca2Zn2Cd after structural relaxation at the PBE level of DFT.

a b c (Å): 7.738 7.738 4.159
angles (deg): 90.00 90.00 90.00
Fractional coordinates of all 10 atoms:
Ca 0.178 0.322 0.000
Ca 0.322 0.822 0.000
Ca 0.678 0.178 0.000
Ca 0.822 0.678 0.000
Zn 0.118 0.618 0.500
Zn 0.382 0.118 0.500
Zn 0.618 0.882 0.500
Zn 0.882 0.382 0.500
Cd 0.000 0.000 0.500
Cd 0.500 0.500 0.500

## Properties
The value obtained for the energy above the most stable polymorph in this dataset is 27 meV per atom. Its formation enthalpy at 0 K is -0.262 eV per atom. As for the space group: P4/mbm (127). The density of states at the Fermi level comes out at 6.2 states/eV/cell. The raw total energy comes out at -1.76 eV/atom.